This record from Alexandria via LeMat-Bulk describes a geometry-optimized Cd2SiNiO4 structure. The functional is GGA+U.

**Electronic total energy**: -5.08 eV per atom
**DOS at the Fermi energy**: 1.250 states/eV/f.u.

Cell lengths 4.8500, 4.8500, 5.8749 Å; angles 114.40, 114.40, 89.99 degrees
Each line ends with the local moment (μB).
Atoms (fractional coordinates):
Cd 0.7500 0.2500 0.4998  0.00
Cd 0.2500 0.7500 0.4998  0.00
Si 0.4998 0.4998 0.9997  0.00
Ni 0.0008 0.0008 0.0020  0.99
O 0.6085 0.6085 0.8096  0.00
O 0.3914 0.7987 0.1900  0.00
O 0.7987 0.3914 0.1900  0.00
O 0.2010 0.2010 0.8096  0.00